Entry from Alexandria via LeMat-Bulk: a relaxed structure of BRu2I (PBE-GGA).

```
data_BRu2I
_chemical_formula_sum 'B4 Ru8 I4'
_symmetry_space_group_name_H-M 'F m -3 m'
_symmetry_Int_Tables_number 225
_symmetry_space_group_name_Hall '-F 4 2 3'
_cell_length_a 6.134
_cell_length_b 6.134
_cell_length_c 6.134
_cell_angle_alpha 90.00
_cell_angle_beta 90.00
_cell_angle_gamma 90.00
loop_
_atom_site_label
_atom_site_type_symbol
_atom_site_fract_x
_atom_site_fract_y
_atom_site_fract_z
B1 B 0.000 0.000 0.000
Ru1 Ru 0.250 0.250 0.250
I1 I 0.000 0.000 0.500
```

Summary:
formation energy (no corrections) = 1.130 eV/atom
energy above the lowest structure with this stoichiometry = 53.2 kJ per mole of atoms
crystal system = cubic

Entry from Alexandria via LeMat-Bulk: a relaxed structure of TaAlSb2Te (PBE-GGA).

```
data_TaAlSb2Te
_chemical_formula_sum 'Ta1 Al1 Sb2 Te1'
_symmetry_space_group_name_H-M 'P 4/m m m'
_symmetry_Int_Tables_number 123
_symmetry_space_group_name_Hall '-P 4 2'
_cell_length_a 5.113
_cell_length_b 5.113
_cell_length_c 5.202
_cell_angle_alpha 90.00
_cell_angle_beta 90.00
_cell_angle_gamma 90.00
loop_
_atom_site_label
_atom_site_type_symbol
_atom_site_fract_x
_atom_site_fract_y
_atom_site_fract_z
Ta1 Ta 0.000 0.000 0.000
Al1 Al 0.500 0.500 0.500
Sb1 Sb 0.000 0.500 0.500
Te1 Te 0.500 0.500 0.000
```

Summary:
formation energy (no corrections) = 1.169 eV/atom
energy above the lowest structure with this stoichiometry = 65.6 kJ per mole of atoms
crystal system = tetragonal

Entry from Alexandria via LeMat-Bulk: a relaxed structure of PIr2Os (PBE-GGA).

```
data_PIr2Os
_chemical_formula_sum 'P2 Ir4 Os2'
_symmetry_space_group_name_H-M 'I m m m'
_symmetry_Int_Tables_number 71
_symmetry_space_group_name_Hall '-I 2 2'
_cell_length_a 2.867
_cell_length_b 4.274
_cell_length_c 9.123
_cell_angle_alpha 90.00
_cell_angle_beta 90.00
_cell_angle_gamma 90.00
loop_
_atom_site_label
_atom_site_type_symbol
_atom_site_fract_x
_atom_site_fract_y
_atom_site_fract_z
P1 P 0.000 0.000 0.000
Ir1 Ir 0.000 0.500 0.293
Os1 Os 0.000 0.000 0.500
```

Summary:
electronic total energy = -8.45 eV per atom
crystal system = orthorhombic

Entry from Alexandria via LeMat-Bulk: a relaxed structure of YCd2Mo (PBE-GGA).

```
data_YCd2Mo
_chemical_formula_sum 'Y3 Cd6 Mo3'
_symmetry_space_group_name_H-M 'R -3 m'
_symmetry_Int_Tables_number 166
_symmetry_space_group_name_Hall '-R 3 2"'
_cell_length_a 3.0599
_cell_length_b 3.0599
_cell_length_c 31.5152
_cell_angle_alpha 90.00
_cell_angle_beta 90.00
_cell_angle_gamma 120.00
loop_
_atom_site_label
_atom_site_type_symbol
_atom_site_fract_x
_atom_site_fract_y
_atom_site_fract_z
Y1 Y 0.0000 0.0000 0.0000
Cd1 Cd 0.0000 0.0000 0.2428
Mo1 Mo 0.0000 0.0000 0.5000
```

Summary:
energy above the lowest structure with this stoichiometry = 19.3 kJ per mole of atoms
crystal system = trigonal

Entry from Alexandria via LeMat-Bulk: a relaxed structure of BaGaSnIr (PBE-GGA).

```
data_BaGaSnIr
_chemical_formula_sum 'Ba3 Ga3 Sn3 Ir3'
_symmetry_space_group_name_H-M 'R 3 m'
_symmetry_Int_Tables_number 160
_symmetry_space_group_name_Hall 'R 3 -2"'
_cell_length_a 4.4588
_cell_length_b 4.4588
_cell_length_c 18.5792
_cell_angle_alpha 90.00
_cell_angle_beta 90.00
_cell_angle_gamma 120.00
loop_
_atom_site_label
_atom_site_type_symbol
_atom_site_fract_x
_atom_site_fract_y
_atom_site_fract_z
Ba1 Ba 0.0000 0.0000 0.0000
Ga1 Ga 0.0000 0.0000 0.5471
Sn1 Sn 0.0000 0.0000 0.8015
Ir1 Ir 0.0000 0.0000 0.1919
```

Summary:
electronic total energy = -4.92 eV per atom
crystal system = trigonal

Entry from Alexandria via LeMat-Bulk: a relaxed structure of Pr2Ho3Sb2 (PBE-GGA).

```
data_Pr2Ho3Sb2
_chemical_formula_sum 'Pr4 Ho6 Sb4'
_symmetry_space_group_name_H-M 'C 1 2/m 1'
_symmetry_Int_Tables_number 12
_symmetry_space_group_name_Hall '-C 2y'
_cell_length_a 12.275
_cell_length_b 4.310
_cell_length_c 8.722
_cell_angle_alpha 90.00
_cell_angle_beta 110.52
_cell_angle_gamma 90.00
loop_
_atom_site_label
_atom_site_type_symbol
_atom_site_fract_x
_atom_site_fract_y
_atom_site_fract_z
Pr1 Pr 0.135 0.000 0.295
Ho1 Ho 0.000 0.500 0.500
Ho2 Ho 0.125 0.500 0.947
Sb1 Sb 0.167 0.000 0.706
```

Summary:
formation energy (no corrections) = -0.654 eV/atom
crystal system = monoclinic

Entry from Alexandria via LeMat-Bulk: a relaxed structure of Cs2InPb (PBE-GGA).

```
data_Cs2InPb
_chemical_formula_sum 'Cs8 In4 Pb4'
_symmetry_space_group_name_H-M 'C m c m'
_symmetry_Int_Tables_number 63
_symmetry_space_group_name_Hall '-C 2c 2'
_cell_length_a 12.382
_cell_length_b 9.329
_cell_length_c 6.746
_cell_angle_alpha 90.00
_cell_angle_beta 90.00
_cell_angle_gamma 90.00
loop_
_atom_site_label
_atom_site_type_symbol
_atom_site_fract_x
_atom_site_fract_y
_atom_site_fract_z
Cs1 Cs 0.171 0.150 0.250
In1 In 0.000 0.500 0.000
Pb1 Pb 0.000 0.236 0.750
```

Summary:
energy above the lowest structure with this stoichiometry = 0.0 kJ per mole of atoms
crystal system = orthorhombic

Entry from Alexandria via LeMat-Bulk: a relaxed structure of PuTh2P3Rh4 (PBE-GGA).

```
data_PuTh2P3Rh4
_chemical_formula_sum 'Pu1 Th2 P3 Rh4'
_symmetry_space_group_name_H-M 'P -4 m 2'
_symmetry_Int_Tables_number 115
_symmetry_space_group_name_Hall 'P -4 -2'
_cell_length_a 4.037
_cell_length_b 4.037
_cell_length_c 11.329
_cell_angle_alpha 90.00
_cell_angle_beta 90.00
_cell_angle_gamma 90.00
loop_
_atom_site_label
_atom_site_type_symbol
_atom_site_fract_x
_atom_site_fract_y
_atom_site_fract_z
Pu1 Pu 0.000 0.000 0.000
Th1 Th 0.000 0.500 0.725
P1 P 0.000 0.500 0.378
P2 P 0.500 0.500 0.000
Rh1 Rh 0.000 0.000 0.500
Rh2 Rh 0.000 0.500 0.172
Rh3 Rh 0.500 0.500 0.500
```

Summary:
electronic total energy = -8.49 eV per atom
crystal system = tetragonal